(1)
The following is a PBE calculation of a geometry-optimized Rb3IrF6 structure, from the Alexandria database.

total magnetization = 0.00 μB/atom
total DFT energy (no corrections) = -4.548 eV per atom
ΔE_f (raw) = -2.249 eV per atom

Lattice parameters (Å, degrees): 6.590 6.590 6.590 60.00 60.00 60.00
Fractional positions:
Rb 0.000 0.000 0.000
Rb 0.250 0.250 0.250
Rb 0.750 0.750 0.750
Ir 0.500 0.500 0.500
F 0.282 0.282 0.718
F 0.282 0.718 0.282
F 0.282 0.718 0.718
F 0.718 0.282 0.282
F 0.718 0.282 0.718
F 0.718 0.718 0.282


(2)
The following is a PBE calculation of a geometry-optimized NaInPd2 structure, from the Alexandria database.

total magnetization = 0.00 μB/atom
ΔH_f (0 K) = -0.3312 eV/atom
total DFT energy (no corrections) = -3.942 eV per atom

Lattice parameters (Å, degrees): 3.243 3.243 7.149 90.00 90.00 90.00
Fractional positions:
Na 0.000 0.000 0.000
In 0.000 0.000 0.500
Pd 0.500 0.500 0.280
Pd 0.500 0.500 0.720


(3)
The following is a PBE calculation of a geometry-optimized K2In5Ag4 structure, from the Alexandria database.

total magnetization = 0.00 μB/atom
ΔH_f (0 K) = -0.0319 eV/atom
total DFT energy (no corrections) = -2.513 eV per atom

Lattice parameters (Å, degrees): 7.409 7.409 9.330 128.95 128.95 50.04
Fractional positions:
K 0.197 0.197 0.198
K 0.803 0.803 0.802
In 0.251 0.749 0.326
In 0.251 0.749 0.674
In 0.500 0.500 0.000
In 0.749 0.251 0.326
In 0.749 0.251 0.674
Ag 0.254 0.254 0.594
Ag 0.254 0.254 0.915
Ag 0.746 0.746 0.085
Ag 0.746 0.746 0.406


(4)
The following is a PBE calculation of a geometry-optimized Na2MgI2 structure, from the Alexandria database.

total magnetization = 0.00 μB/atom
total DFT energy (no corrections) = -2.136 eV per atom
ΔE_f (raw) = -0.669 eV per atom
relative energy among the computed polymorphs = 0.000 eV/atom

Lattice parameters (Å, degrees): 8.185 8.185 8.185 139.74 139.74 58.25
Fractional positions:
Na 0.250 0.750 0.500
Na 0.750 0.250 0.500
Mg 0.000 0.000 0.000
I 0.343 0.343 0.000
I 0.657 0.657 0.000


(5)
The following is a PBE calculation of a geometry-optimized CaY structure, from the Alexandria database.

total magnetization = 0.00 μB/atom
ΔH_f (0 K) = 0.7281 eV/atom
total DFT energy (no corrections) = -3.505 eV per atom
relative energy among the computed polymorphs = 0.680 eV/atom

Lattice parameters (Å, degrees): 4.754 4.754 4.754 60.00 60.00 60.00
Fractional positions:
Ca 0.000 0.000 0.000
Y 0.500 0.500 0.500


(6)
The following is a PBE calculation of a geometry-optimized Mn2CuSb structure, from the Alexandria database.

total magnetization = 1.00 μB/atom
total DFT energy (no corrections) = -6.362 eV per atom
ΔE_f (raw) = 0.277 eV per atom

Lattice parameters (Å, degrees): 3.245 3.245 5.625 90.00 90.00 90.00
Fractional positions:
Mn 0.000 0.000 0.000
Mn 0.500 0.500 0.247
Cu 0.500 0.500 0.781
Sb 0.000 0.000 0.488